Entry 1:
DFT (PBE-GGA) results for a relaxed structure of Er3Tm6Cd.

Unit cell a=6.1426 b=10.8054 c=10.8054 alpha=123.76 beta=90.00 gamma=90.00
Sites, in units of the cell vectors:
1 Er 0.0865 0.3953 0.6047
2 Er 0.5865 0.6047 0.3953
3 Er 0.4082 0.9549 0.7056
4 Er 0.9082 0.7056 0.9549
5 Er 0.9082 0.0451 0.2944
6 Er 0.4082 0.2944 0.0451
7 Tm 0.1601 0.7099 0.2901
8 Tm 0.5532 0.6320 0.7087
9 Tm 0.8897 0.0553 0.9447
10 Tm 0.0532 0.3680 0.2913
11 Tm 0.5532 0.2913 0.3680
12 Tm 0.8822 0.9621 0.5704
13 Tm 0.3822 0.5704 0.9621
14 Tm 0.3822 0.0379 0.4296
15 Tm 0.8822 0.4296 0.0379
16 Tm 0.6601 0.2901 0.7099
17 Tm 0.0532 0.7087 0.6320
18 Tm 0.3897 0.9447 0.0553
19 Cd 0.1618 0.2396 0.7604
20 Cd 0.6618 0.7604 0.2396

Calculated values
Total energy ... -81.58 eV/cell

***

Entry 2:
DFT (PBE-GGA) results for a relaxed structure of Ac2SiAsRh6.

Unit cell a=6.4371 b=6.7150 c=6.6902 alpha=57.41 beta=61.56 gamma=90.16
Sites, in units of the cell vectors:
1 Rh 0.1753 0.2552 0.0774
2 Rh 0.2546 0.1755 0.4922
3 Rh 0.7455 0.2536 0.0759
4 Rh 0.2545 0.7464 0.9241
5 Rh 0.8247 0.7448 0.9226
6 Rh 0.7454 0.8245 0.5078
7 As 0.0000 0.0000 0.0000
8 Si 0.5000 0.5000 0.0000
9 Ac 0.2710 0.7286 0.4566
10 Ac 0.7290 0.2714 0.5434

Calculated values
Total energy ... -69.03 eV/cell

***

Entry 3:
DFT (PBE-GGA) results for a relaxed structure of LaTc2Pb.

Unit cell a=3.5887 b=3.5887 c=6.6711 alpha=90.00 beta=90.00 gamma=90.00
Each line ends with the local moment (μB).
Sites, in units of the cell vectors:
1 Tc 0.0000 0.0000 0.5434  0.76
2 Tc 0.0000 0.0000 0.9566  0.76
3 Pb 0.5000 0.5000 0.7500  -0.03
4 La 0.5000 0.5000 0.2500  0.01

Calculated values
Total energy ... -27.29 eV/cell

***

Entry 4:
DFT (PBE-GGA) results for a relaxed structure of GdVGa4.

Unit cell a=5.2912 b=5.2912 c=5.2912 alpha=60.00 beta=60.00 gamma=60.00
Each line ends with the local moment (μB).
Sites, in units of the cell vectors:
1 Ga 0.6244 0.1267 0.6244  0.01
2 Ga 0.6244 0.6244 0.6244  0.01
3 Ga 0.1267 0.6244 0.6244  0.01
4 Ga 0.6244 0.6244 0.1267  0.01
5 V 0.2500 0.2500 0.2500  -0.31
6 Gd 0.0000 0.0000 0.0000  7.09

Calculated values
Total energy ... -36.42 eV/cell

***

- Which of these has the lowest total energy?
  Er3Tm6Cd